No. 1
The following is a DFT calculation (GGA-PBE) of crystalline Nd2Ag2Au15 at its relaxed geometry.

As for the calculated total energy: -208.073 eV for the cell shown. The calculation puts the energy of formation at -0.26 eV/atom.

The space group is R-3m (No. 166, hexagonal axes) and the conventional cell measures 9.5736, 9.5736 and 14.4985 Å, with angles of 90.00, 90.00 and 120.00 degrees. The distinct sites, in fractional coordinates, are Nd at (0.0000, 0.0000, 0.1556), Ag at (0.0000, 0.0000, 0.4014), Au at (0.0000, 0.3037, 0.5000), Au at (0.0000, 0.5000, 0.0000) and Au at (0.0086, 0.5043, 0.6483).



No. 2
The following is a DFT calculation (GGA-PBE) of crystalline K2PrMg3F12 at its relaxed geometry.

The raw formation energy is -3.27 eV/atom. As for the calculated total energy: -279.013 eV for the cell shown.

The space group is R-3m (No. 166, hexagonal axes) and the conventional cell measures 7.4979, 7.4979 and 16.2937 Å, with angles of 90.00, 90.00 and 120.00 degrees. The distinct sites, in fractional coordinates, are K at (0.0000, 0.0000, 0.1072), Pr at (0.0000, 0.0000, 0.5000), Mg at (0.0000, 0.5000, 0.0000), F at (0.0281, 0.5141, 0.8769) and F at (0.0880, 0.5440, 0.3081).



No. 3
The following is a DFT calculation (GGA-PBE) of crystalline Cr2FeBiMo at its relaxed geometry.

As for the calculated total energy: -36.285 eV for the cell shown. The calculation puts the energy of formation at 1.23 eV/atom.

The space group is P4/mmm (No. 123) and the conventional cell measures 4.724, 4.724 and 4.561 Å, with angles of 90.00, 90.00 and 90.00 degrees. The distinct sites, in fractional coordinates, are Cr at (0.000, 0.500, 0.000), Fe at (0.000, 0.000, 0.500), Bi at (0.500, 0.500, 0.500) and Mo at (0.000, 0.000, 0.000).